The following is a DFT calculation (PBE) of a geometry-optimized Fe2IrOs structure.

Crystal system: cubic
E_form (kcal/mol of atoms): 6.3
Density of states at the Fermi level (states/eV/cell): 4.612
Magnetic moment (μB per cell): 5.95

Cell lengths 4.248, 4.248, 4.248 Å; angles 60.00, 60.00, 60.00 degrees
Positions (direct):
Fe 0.000 0.000 0.000
Fe 0.250 0.250 0.250
Ir 0.500 0.500 0.500
Os 0.750 0.750 0.750